# Li3Fe2SbO6 (PBE with a Hubbard U, relaxed)
# Energy ... -140.7 eV/cell
data_Li3Fe2SbO6
_chemical_formula_sum 'Li6 Fe4 Sb2 O12'
_cell_length_a 13.029
_cell_length_b 3.090
_cell_length_c 6.377
_cell_angle_alpha 90.00
_cell_angle_beta 103.53
_cell_angle_gamma 90.00
_symmetry_space_group_name_H-M 'C 1 2/m 1'
_symmetry_Int_Tables_number 12
loop_
_symmetry_equiv_pos_as_xyz
'x,y,z'
'-x,-y,-z'
'-x,y,-z'
'x,-y,z'
'x+1/2,y+1/2,z'
'-x+1/2,-y+1/2,-z'
'-x+1/2,y+1/2,-z'
'x+1/2,-y+1/2,z'
loop_
_atom_site_label
_atom_site_type_symbol
_atom_site_fract_x
_atom_site_fract_y
_atom_site_fract_z
Li1 Li 0.000 0.000 0.000
Li2 Li 0.172 0.500 0.304
Fe1 Fe 0.172 0.500 0.858
Sb1 Sb 0.000 0.000 0.500
O1 O 0.006 0.500 0.287
O2 O 0.155 0.000 0.597
O3 O 0.159 0.000 0.080